# 1
Below is a relaxed ScCdW crystal, with properties calculated at the GGA-PBE level.

Lattice parameters (Å, degrees): 4.649 4.649 4.649 60.00 60.00 60.00
Element x y z (fractional)
Sc1 0.000 0.000 0.000
Cd1 0.500 0.500 0.500
W1 0.750 0.750 0.750

Computed properties:
As for the formation energy from the elements: 1122 meV per atom. As for the crystal system: cubic. The calculation puts the relative energy among the computed polymorphs at 0.00 eV per formula unit. The total magnetization is 2.87 μB/cell.

# 2
Below is a relaxed YScCd crystal, with properties calculated at the GGA-PBE level.

Lattice parameters (Å, degrees): 4.978 4.978 4.978 60.00 60.00 60.00
Element x y z (fractional)
Y1 0.000 0.000 0.000
Sc1 0.500 0.500 0.500
Cd1 0.750 0.750 0.750

Computed properties:
As for the formation energy from the elements: 109 meV per atom. As for the crystal system: cubic. The calculation puts the relative energy among the computed polymorphs at 0.00 eV per formula unit. The total magnetization is 0.01 μB/cell.

# 3
Below is a relaxed YScCd crystal, with properties calculated at the GGA-PBE level.

Lattice parameters (Å, degrees): 4.992 4.992 4.992 60.00 60.00 60.00
Element x y z (fractional)
Y1 0.000 0.000 0.000
Sc1 0.250 0.250 0.250
Cd1 0.750 0.750 0.750

Computed properties:
As for the formation energy from the elements: 567 meV per atom. As for the crystal system: cubic. The calculation puts the relative energy among the computed polymorphs at 1.37 eV per formula unit. The total magnetization is 0.01 μB/cell.

# 4
Below is a relaxed YScZn4Cd2 crystal, with properties calculated at the GGA-PBE level.

Lattice parameters (Å, degrees): 4.744 4.744 6.735 90.00 90.00 90.00
Element x y z (fractional)
Y1 0.000 0.000 0.000
Sc1 0.500 0.500 0.500
Zn1 0.000 0.000 0.500
Zn2 0.000 0.500 0.263
Zn3 0.500 0.000 0.737
Zn4 0.500 0.500 0.000
Cd1 0.000 0.500 0.737
Cd2 0.500 0.000 0.263

Computed properties:
As for the formation energy from the elements: -213 meV per atom. As for the crystal system: tetragonal. The total magnetization is 0.02 μB/cell.

# 5
Below is a relaxed ScZn2Cd crystal, with properties calculated at the GGA-PBE level.

Lattice parameters (Å, degrees): 4.640 4.640 4.640 60.00 60.00 60.00
Element x y z (fractional)
Sc1 0.000 0.000 0.000
Zn1 0.500 0.500 0.500
Zn2 0.750 0.750 0.750
Cd1 0.250 0.250 0.250

Computed properties:
As for the formation energy from the elements: -200 meV per atom. As for the crystal system: cubic. The total magnetization is 0.00 μB/cell.

# 6
Below is a relaxed ScZn2Cd crystal, with properties calculated at the GGA-PBE level.

Lattice parameters (Å, degrees): 4.638 4.638 4.638 60.00 60.00 60.00
Element x y z (fractional)
Sc1 0.000 0.000 0.000
Zn1 0.500 0.500 0.500
Zn2 0.750 0.750 0.750
Cd1 0.250 0.250 0.250

Computed properties:
As for the formation energy from the elements: -200 meV per atom. As for the crystal system: cubic. The total magnetization is 0.00 μB/cell.

# 7
Below is a relaxed ScZnCd2 crystal, with properties calculated at the GGA-PBE level.

Lattice parameters (Å, degrees): 4.812 4.812 4.812 60.00 60.00 60.00
Element x y z (fractional)
Sc1 0.000 0.000 0.000
Zn1 0.750 0.750 0.750
Cd1 0.250 0.250 0.250
Cd2 0.500 0.500 0.500

Computed properties:
As for the formation energy from the elements: -215 meV per atom. As for the crystal system: cubic. The total magnetization is 0.00 μB/cell.

# 8
Below is a relaxed Zr2ScCd2 crystal, with properties calculated at the GGA-PBE level.

Lattice parameters (Å, degrees): 7.349 7.349 7.349 146.32 146.32 48.37
Element x y z (fractional)
Zr1 0.097 0.097 0.000
Zr2 0.903 0.903 0.000
Sc1 0.500 0.500 0.000
Cd1 0.250 0.750 0.500
Cd2 0.750 0.250 0.500

Computed properties:
As for the formation energy from the elements: 353 meV per atom. As for the crystal system: tetragonal. The total magnetization is 1.76 μB/cell.

# 9
Below is a relaxed Zr3Sc2Cd2 crystal, with properties calculated at the GGA-PBE level.

Lattice parameters (Å, degrees): 7.905 7.905 7.905 36.67 36.67 36.67
Element x y z (fractional)
Zr1 0.000 0.000 0.000
Zr2 0.275 0.275 0.275
Zr3 0.685 0.685 0.685
Sc1 0.414 0.414 0.414
Sc2 0.845 0.845 0.845
Cd1 0.134 0.134 0.134
Cd2 0.551 0.551 0.551

Computed properties:
As for the formation energy from the elements: -115 meV per atom. As for the crystal system: trigonal. The total magnetization is 0.01 μB/cell.

# 10
Below is a relaxed CdSe crystal, with properties calculated at the GGA-PBE level.

Lattice parameters (Å, degrees): 4.350 4.350 14.229 90.00 90.00 120.00
Element x y z (fractional)
Cd1 0.000 0.000 0.000
Cd2 0.000 0.000 0.500
Cd3 0.333 0.667 0.250
Cd4 0.667 0.333 0.750
Se1 0.000 0.000 0.313
Se2 0.000 0.000 0.813
Se3 0.333 0.667 0.062
Se4 0.667 0.333 0.562

Computed properties:
For the total energy, the calculation gives -2.8257 eV per atom. As for the crystal system: hexagonal.

# 11
Below is a relaxed CdSe crystal, with properties calculated at the GGA-PBE level.

Lattice parameters (Å, degrees): 4.719 4.719 5.617 90.00 90.00 96.02
Element x y z (fractional)
Cd1 0.000 0.000 0.000
Cd2 0.500 0.500 0.000
Se1 0.250 0.750 0.685
Se2 0.750 0.250 0.315

Computed properties:
For the total energy, the calculation gives -2.4083 eV per atom. As for the crystal system: orthorhombic.

# 12
Below is a relaxed CdSe crystal, with properties calculated at the GGA-PBE level.

Lattice parameters (Å, degrees): 4.054 4.054 4.054 60.00 60.00 60.00
Element x y z (fractional)
Cd1 0.000 0.000 0.000
Se1 0.500 0.500 0.500

Computed properties:
For the total energy, the calculation gives -2.6831 eV per atom. As for the crystal system: cubic.

# 13
Below is a relaxed CdSe4 crystal, with properties calculated at the GGA-PBE level.

Lattice parameters (Å, degrees): 8.061 8.061 8.061 29.63 29.63 29.63
Element x y z (fractional)
Cd1 0.000 0.000 0.000
Se1 0.195 0.195 0.195
Se2 0.398 0.398 0.398
Se3 0.602 0.602 0.602
Se4 0.805 0.805 0.805

Computed properties:
For the total energy, the calculation gives -2.9946 eV per atom. As for the crystal system: trigonal.

# 14
Below is a relaxed CdSe crystal, with properties calculated at the GGA-PBE level.

Lattice parameters (Å, degrees): 4.380 4.380 4.380 60.00 60.00 60.00
Element x y z (fractional)
Cd1 0.000 0.000 0.000
Se1 0.750 0.750 0.750

Computed properties:
For the total energy, the calculation gives -2.8291 eV per atom. As for the crystal system: cubic.

# 15
Below is a relaxed CdSe crystal, with properties calculated at the GGA-PBE level.

Lattice parameters (Å, degrees): 3.956 3.956 12.031 90.00 90.00 90.03
Element x y z (fractional)
Cd1 0.250 0.750 0.450
Cd2 0.250 0.750 0.950
Cd3 0.750 0.250 0.050
Cd4 0.750 0.250 0.550
Se1 0.238 0.262 0.250
Se2 0.262 0.238 0.750
Se3 0.738 0.762 0.250
Se4 0.762 0.738 0.750

Computed properties:
For the total energy, the calculation gives -2.1088 eV per atom. As for the crystal system: orthorhombic.

# 16
Below is a relaxed CdSe crystal, with properties calculated at the GGA-PBE level.

Lattice parameters (Å, degrees): 4.075 4.075 6.510 90.00 90.00 120.00
Element x y z (fractional)
Cd1 0.000 0.000 0.000
Cd2 0.000 0.000 0.500
Se1 0.333 0.667 0.250
Se2 0.667 0.333 0.750

Computed properties:
For the total energy, the calculation gives -2.6510 eV per atom. As for the crystal system: hexagonal.

# 17
Below is a relaxed CdSe crystal, with properties calculated at the GGA-PBE level.

Lattice parameters (Å, degrees): 4.487 4.487 5.179 90.00 90.00 90.00
Element x y z (fractional)
Cd1 0.250 0.750 0.000
Cd2 0.750 0.250 0.000
Se1 0.250 0.250 0.303
Se2 0.750 0.750 0.697

Computed properties:
For the total energy, the calculation gives -2.6453 eV per atom. As for the crystal system: tetragonal.

# 18
Below is a relaxed CdSe crystal, with properties calculated at the GGA-PBE level.

Lattice parameters (Å, degrees): 4.262 4.616 5.325 90.00 90.00 90.00
Element x y z (fractional)
Cd1 0.250 0.250 0.020
Cd2 0.750 0.750 0.980
Se1 0.250 0.750 0.298
Se2 0.750 0.250 0.702

Computed properties:
For the total energy, the calculation gives -2.6302 eV per atom. As for the crystal system: orthorhombic.

# 19
Below is a relaxed Sm2Cd2Se crystal, with properties calculated at the GGA-PBE level.

Lattice parameters (Å, degrees): 4.911 4.911 12.725 90.00 90.00 120.00
Element x y z (fractional)
Sm1 0.333 0.667 0.110
Sm2 0.333 0.667 0.390
Sm3 0.667 0.333 0.610
Sm4 0.667 0.333 0.890
Cd1 0.000 0.000 0.000
Cd2 0.000 0.000 0.500
Cd3 0.333 0.667 0.750
Cd4 0.667 0.333 0.250
Se1 0.000 0.000 0.250
Se2 0.000 0.000 0.750

Computed properties:
For the total energy, the calculation gives -3.3221 eV per atom. As for the crystal system: hexagonal. The total magnetization is 0.01 μB/cell.

# 20
Below is a relaxed Sr2CdSe3 crystal, with properties calculated at the GGA-PBE level.

Lattice parameters (Å, degrees): 9.020 4.353 17.540 90.00 90.00 90.00
Element x y z (fractional)
Sr1 0.073 0.250 0.216
Sr2 0.234 0.250 0.963
Sr3 0.266 0.750 0.463
Sr4 0.427 0.750 0.716
Sr5 0.573 0.250 0.284
Sr6 0.734 0.250 0.537
Sr7 0.766 0.750 0.037
Sr8 0.927 0.750 0.784
Cd1 0.118 0.250 0.633
Cd2 0.382 0.750 0.133
Cd3 0.618 0.250 0.867
Cd4 0.882 0.750 0.367
Se1 0.032 0.250 0.407
Se2 0.113 0.750 0.072
Se3 0.192 0.250 0.779
Se4 0.308 0.750 0.279
Se5 0.387 0.250 0.572
Se6 0.468 0.750 0.907
Se7 0.532 0.250 0.093
Se8 0.613 0.750 0.428
Se9 0.692 0.250 0.721
Se10 0.808 0.750 0.221
Se11 0.887 0.250 0.928
Se12 0.968 0.750 0.593

Computed properties:
For the total energy, the calculation gives -3.9719 eV per atom. As for the crystal system: orthorhombic.

# 21
Below is a relaxed Cd2TeSe crystal, with properties calculated at the GGA-PBE level.

Lattice parameters (Å, degrees): 4.497 4.497 7.363 90.00 90.00 120.00
Element x y z (fractional)
Cd1 0.000 0.000 0.000
Cd2 0.333 0.667 0.532
Te1 0.000 0.000 0.387
Se1 0.333 0.667 0.894

Computed properties:
As for the crystal system: trigonal. The calculation puts the relative energy among the computed polymorphs at 0.03 eV per formula unit.

# 22
Below is a relaxed Cd2TeSe crystal, with properties calculated at the GGA-PBE level.

Lattice parameters (Å, degrees): 4.505 4.505 6.363 90.00 90.00 90.00
Element x y z (fractional)
Cd1 0.000 0.500 0.232
Cd2 0.500 0.000 0.768
Te1 0.000 0.000 0.500
Se1 0.500 0.500 0.000

Computed properties:
As for the crystal system: tetragonal. The calculation puts the relative energy among the computed polymorphs at 0.00 eV per formula unit.

# 23
Below is a relaxed Cd4TeSe2 crystal, with properties calculated at the GGA-PBE level.

Lattice parameters (Å, degrees): 7.077 7.077 4.011 90.10 90.10 114.80
Element x y z (fractional)
Cd1 0.241 0.759 0.000
Cd2 0.310 0.310 0.502
Cd3 0.690 0.690 0.498
Cd4 0.759 0.241 0.000
Te1 0.000 0.000 0.000
Se1 0.000 0.500 0.500
Se2 0.500 0.000 0.500

Computed properties:
For the total energy, the calculation gives -2.1962 eV per atom. As for the crystal system: monoclinic.

# 24
Below is a relaxed ZnCdTeSe crystal, with properties calculated at the GGA-PBE level.

Lattice parameters (Å, degrees): 7.504 7.504 7.504 131.33 131.27 71.34
Element x y z (fractional)
Zn1 0.135 0.385 0.750
Zn2 0.365 0.115 0.250
Cd1 0.633 0.883 0.750
Cd2 0.867 0.617 0.250
Te1 0.250 0.475 0.225
Te2 0.750 0.025 0.275
Se1 0.026 0.750 0.776
Se2 0.474 0.250 0.724

Computed properties:
As for the crystal system: orthorhombic. The calculation puts the relative energy among the computed polymorphs at 0.03 eV per formula unit.

# 25
Below is a relaxed ZnCdTeSe crystal, with properties calculated at the GGA-PBE level.

Lattice parameters (Å, degrees): 6.177 6.177 7.483 114.11 114.11 90.00
Element x y z (fractional)
Zn1 0.113 0.887 0.500
Zn2 0.887 0.113 0.000
Cd1 0.387 0.656 0.000
Cd2 0.656 0.387 0.500
Te1 0.234 0.510 0.250
Te2 0.510 0.234 0.750
Se1 0.010 0.786 0.750
Se2 0.786 0.010 0.250

Computed properties:
As for the crystal system: monoclinic. The calculation puts the relative energy among the computed polymorphs at 0.00 eV per formula unit.

# 26
Below is a relaxed Zn2Cd2TeSe3 crystal, with properties calculated at the GGA-PBE level.

Lattice parameters (Å, degrees): 7.375 7.375 6.087 114.06 114.06 48.71
Element x y z (fractional)
Zn1 0.130 0.130 0.392
Zn2 0.870 0.870 0.608
Cd1 0.392 0.349 0.130
Cd2 0.651 0.608 0.870
Te1 0.234 0.766 0.000
Se1 0.010 0.490 0.277
Se2 0.510 0.990 0.723
Se3 0.786 0.214 0.500

Computed properties:
For the total energy, the calculation gives -2.8517 eV per atom. As for the crystal system: monoclinic.

# 27
Below is a relaxed Zn2Cd2Te3Se crystal, with properties calculated at the GGA-PBE level.

Lattice parameters (Å, degrees): 7.624 7.624 6.284 114.05 114.05 48.72
Element x y z (fractional)
Zn1 0.120 0.120 0.382
Zn2 0.880 0.880 0.618
Cd1 0.357 0.401 0.139
Cd2 0.599 0.643 0.861
Te1 0.490 0.010 0.275
Te2 0.765 0.235 0.000
Te3 0.990 0.510 0.725
Se1 0.214 0.786 0.500

Computed properties:
For the total energy, the calculation gives -2.6639 eV per atom. As for the crystal system: monoclinic.

Number 1: V 23.7 Å³/atom. Number 2: V 29.1 Å³/atom. Number 3: V 29.3 Å³/atom. Number 4: V 18.9 Å³/atom. Number 5: V 17.7 Å³/atom. Number 6: V 17.6 Å³/atom. Number 7: V 19.7 Å³/atom. Number 8: V 24.3 Å³/atom. Number 9: V 22.5 Å³/atom. Number 10: V 29.1 Å³/atom. Number 11: V 31.1 Å³/atom. Number 12: V 23.5 Å³/atom. Number 13: V 22.7 Å³/atom. Number 14: V 29.7 Å³/atom. Number 15: V 23.5 Å³/atom. Number 16: V 23.4 Å³/atom. Number 17: V 26.1 Å³/atom. Number 18: V 26.2 Å³/atom. Number 19: V 26.6 Å³/atom. Number 20: V 28.7 Å³/atom. Number 21: V 32.2 Å³/atom. Number 22: V 32.3 Å³/atom. Number 23: V 26.0 Å³/atom. Number 24: V 29.2 Å³/atom. Number 25: V 29.1 Å³/atom. Number 26: V 27.8 Å³/atom. Number 27: V 30.7 Å³/atom.